# 1
# YTh4Sc5 | Alexandria | PBE | optimized geometry
# Crystal system   tetragonal
# Magnetization   0.00 Bohr magnetons per cell
# Calculated formation energy   0.03 eV/atom
# Final energy   -67.5 eV/cell
data_YTh4Sc5
_symmetry_space_group_name_H-M 'P 4/m m m'
_symmetry_Int_Tables_number 123
_symmetry_space_group_name_Hall '-P 4 2'
_cell_length_a 3.4662
_cell_length_b 3.4662
_cell_length_c 23.6790
_cell_angle_alpha 90.00
_cell_angle_beta 90.00
_cell_angle_gamma 90.00
loop_
_atom_site_label
_atom_site_type_symbol
_atom_site_fract_x
_atom_site_fract_y
_atom_site_fract_z
_atom_site_occupancy
Y1 Y 0.0000 0.0000 0.0000 1
Th1 Th 0.0000 0.0000 0.2005 1
Th2 Th 0.0000 0.0000 0.4002 1
Sc1 Sc 0.5000 0.5000 0.1025 1
Sc2 Sc 0.5000 0.5000 0.3004 1
Sc3 Sc 0.5000 0.5000 0.5000 1


# 2
# Ca2FeTc | Alexandria | PBE | optimized geometry
# Crystal system   monoclinic
# Magnetization   5.56 Bohr magnetons per cell
# Calculated formation energy   0.76 eV/atom
# Offset from the most stable computed form   1.665 eV per formula unit
# Final energy   -39.6 eV/cell
data_Ca2FeTc
_symmetry_space_group_name_H-M 'C 1 2/m 1'
_symmetry_Int_Tables_number 12
_cell_length_a 6.0730
_cell_length_b 9.2610
_cell_length_c 2.8977
_cell_angle_alpha 90.00
_cell_angle_beta 90.26
_cell_angle_gamma 90.00
loop_
_symmetry_equiv_pos_as_xyz
'x,y,z'
'-x,-y,-z'
'-x,y,-z'
'x,-y,z'
'x+1/2,y+1/2,z'
'-x+1/2,-y+1/2,-z'
'-x+1/2,y+1/2,-z'
'x+1/2,-y+1/2,z'
loop_
_atom_site_label
_atom_site_type_symbol
_atom_site_fract_x
_atom_site_fract_y
_atom_site_fract_z
_atom_site_occupancy
Ca1 Ca 0.2500 0.2500 0.0000 1
Fe1 Fe 0.0000 0.0000 0.5000 1
Tc1 Tc 0.0000 0.5000 0.5000 1


# 3
# KLa2Tl | Alexandria | PBE | optimized geometry
# Crystal system   orthorhombic
# Magnetization   0.00 Bohr magnetons per cell
# Calculated formation energy   0.14 eV/atom
# Offset from the most stable computed form   0.633 eV per formula unit
# Final energy   -12.8 eV/cell
data_KLa2Tl
_symmetry_space_group_name_H-M 'P m m m'
_symmetry_Int_Tables_number 47
_cell_length_a 3.8886
_cell_length_b 5.9892
_cell_length_c 6.1297
_cell_angle_alpha 90.00
_cell_angle_beta 90.00
_cell_angle_gamma 90.00
loop_
_symmetry_equiv_pos_as_xyz
'x,y,z'
'-x,-y,-z'
'-x,-y,z'
'x,y,-z'
'x,-y,-z'
'-x,y,z'
'-x,y,-z'
'x,-y,z'
loop_
_atom_site_label
_atom_site_type_symbol
_atom_site_fract_x
_atom_site_fract_y
_atom_site_fract_z
_atom_site_occupancy
K1 K 0.0000 0.0000 0.0000 1
La1 La 0.0000 0.5000 0.5000 1
La2 La 0.5000 0.0000 0.5000 1
Tl1 Tl 0.5000 0.5000 0.0000 1


# 4
# Rb2SmSbTe4 | Alexandria | PBE | optimized geometry
# Crystal system   monoclinic
# Magnetization   0.00 Bohr magnetons per cell
# Energy relative to the elements, uncorrected   -0.954 eV/atom
# Final energy   -31.0 eV/cell
data_Rb2SmSbTe4
_symmetry_space_group_name_H-M 'P 1 2/m 1'
_symmetry_Int_Tables_number 10
_cell_length_a 7.9852
_cell_length_b 4.5771
_cell_length_c 8.9271
_cell_angle_alpha 90.00
_cell_angle_beta 107.09
_cell_angle_gamma 90.00
loop_
_symmetry_equiv_pos_as_xyz
'x,y,z'
'-x,-y,-z'
'-x,y,-z'
'x,-y,z'
loop_
_atom_site_label
_atom_site_type_symbol
_atom_site_fract_x
_atom_site_fract_y
_atom_site_fract_z
_atom_site_occupancy
Rb1 Rb 0.0000 0.0000 0.0000 1
Rb2 Rb 0.5000 0.5000 0.0000 1
Sm1 Sm 0.0000 0.5000 0.5000 1
Sb1 Sb 0.5000 0.0000 0.5000 1
Te1 Te 0.2379 0.0000 0.7001 1
Te2 Te 0.2711 0.5000 0.3023 1


# 5
# TcSnAs3 | Alexandria | PBE | optimized geometry
# Crystal system   cubic
# Magnetization   2.89 Bohr magnetons per cell
# Calculated formation energy   1.54 eV/atom
# Final energy   -20.6 eV/cell
data_TcSnAs3
_symmetry_space_group_name_H-M 'P m -3 m'
_symmetry_Int_Tables_number 221
_symmetry_space_group_name_Hall '-P 4 2 3'
_cell_length_a 5.1787
_cell_length_b 5.1787
_cell_length_c 5.1787
_cell_angle_alpha 90.00
_cell_angle_beta 90.00
_cell_angle_gamma 90.00
loop_
_atom_site_label
_atom_site_type_symbol
_atom_site_fract_x
_atom_site_fract_y
_atom_site_fract_z
_atom_site_occupancy
Tc1 Tc 0.0000 0.0000 0.0000 1
Sn1 Sn 0.5000 0.5000 0.5000 1
As1 As 0.0000 0.5000 0.5000 1


# 6
# La3In | Alexandria | PBE | optimized geometry
# Crystal system   cubic
# Magnetization   0.00 Bohr magnetons per cell
# Calculated formation energy   -0.15 eV/atom
# Offset from the most stable computed form   0.602 eV per formula unit
# Final energy   -72.5 eV/cell
data_La3In
_symmetry_space_group_name_H-M 'F m -3 m'
_symmetry_Int_Tables_number 225
_symmetry_space_group_name_Hall '-F 4 2 3'
_cell_length_a 8.0554
_cell_length_b 8.0554
_cell_length_c 8.0554
_cell_angle_alpha 90.00
_cell_angle_beta 90.00
_cell_angle_gamma 90.00
loop_
_atom_site_label
_atom_site_type_symbol
_atom_site_fract_x
_atom_site_fract_y
_atom_site_fract_z
_atom_site_occupancy
La1 La 0.0000 0.0000 0.0000 1
La2 La 0.2500 0.2500 0.2500 1
In1 In 0.0000 0.0000 0.5000 1


# 7
# La2TbNd2Y2 | Alexandria | PBE | optimized geometry
# Crystal system   monoclinic
# Magnetization   0.00 Bohr magnetons per cell
# Calculated formation energy   0.02 eV/atom
# Final energy   -73.6 eV/cell
data_La2TbNd2Y2
_symmetry_space_group_name_H-M 'C 1 2/m 1'
_symmetry_Int_Tables_number 12
_cell_length_a 11.5706
_cell_length_b 5.1822
_cell_length_c 8.1435
_cell_angle_alpha 90.00
_cell_angle_beta 98.28
_cell_angle_gamma 90.00
loop_
_symmetry_equiv_pos_as_xyz
'x,y,z'
'-x,-y,-z'
'-x,y,-z'
'x,-y,z'
'x+1/2,y+1/2,z'
'-x+1/2,-y+1/2,-z'
'-x+1/2,y+1/2,-z'
'x+1/2,-y+1/2,z'
loop_
_atom_site_label
_atom_site_type_symbol
_atom_site_fract_x
_atom_site_fract_y
_atom_site_fract_z
_atom_site_occupancy
La1 La 0.1425 0.0000 0.4269 1
Tb1 Tb 0.0000 0.0000 0.0000 1
Nd1 Nd 0.0707 0.5000 0.7189 1
Y1 Y 0.2152 0.5000 0.1384 1


# 8
# TlSn4Pb6 | Alexandria | PBE | optimized geometry
# Crystal system   tetragonal
# Magnetization   0.00 Bohr magnetons per cell
# Calculated formation energy   0.12 eV/atom
# Final energy   -78.6 eV/cell
data_TlSn4Pb6
_symmetry_space_group_name_H-M 'I -4 2 m'
_symmetry_Int_Tables_number 121
_symmetry_space_group_name_Hall 'I -4 2'
_cell_length_a 7.6720
_cell_length_b 7.6720
_cell_length_c 13.0494
_cell_angle_alpha 90.00
_cell_angle_beta 90.00
_cell_angle_gamma 90.00
loop_
_atom_site_label
_atom_site_type_symbol
_atom_site_fract_x
_atom_site_fract_y
_atom_site_fract_z
_atom_site_occupancy
Tl1 Tl 0.0000 0.0000 0.0000 1
Sn1 Sn 0.2446 0.2446 0.3686 1
Pb1 Pb 0.0000 0.5000 0.0000 1
Pb2 Pb 0.1603 0.1603 0.6465 1